The following is a DFT calculation (PBE) of an optimized crystal structure of TaTlP.

Calculated values
E_form = 0.102 eV per atom
Theoretical density = 11012 kg/m3
Energy = -6.440 eV per atom
Total magnetization = 0.00 μB per formula unit
Crystal system = trigonal
ΔE to the lowest computed polymorph = 165.2 meV/atom

Unit cell a=3.3294 b=3.3294 c=6.5397 alpha=90.00 beta=90.00 gamma=120.00
With the nearest neighbours (Å) after each atom.
Sites, in units of the cell vectors:
Tl 0.3333 0.6667 0.6616  3 Ta 3.13, 3 P 3.21, 6 Tl 3.33
Ta 0.6667 0.3333 0.2841  3 P 2.44
P 0.0000 0.0000 0.0543  3 Ta 2.44